Computed, not measured: crystalline B2C at its relaxed geometry at the PBE level of DFT.

Geometry as POSCAR:
```
B2C
1.0
2.594 0.000 0.000
0.000 2.283 0.000
0.000 0.000 13.939
B C
8 4
direct
0.500 0.000 0.930
0.500 0.500 0.483
0.500 0.000 0.584
0.000 0.000 0.676
0.000 0.500 0.777
0.500 0.500 0.141
0.500 0.000 0.242
0.000 0.000 0.331
0.500 0.500 0.843
0.000 0.500 0.418
0.000 0.000 0.005
0.000 0.500 0.068
```

Calculated values
The calculation puts the formation energy at 119.7 kJ/mol of formula units. Its space-group type is Pmm2 (25). The value obtained for the offset from the most stable computed form is 0.228 eV/atom.